[1]
Material: CeTaSb2
Method: DFT, PBE
State: optimized geometry

Lattice parameters (Å, degrees): 3.2824 3.2824 10.9760 81.40 81.40 60.00
Last column: magnetic moment on the atom in μB.
Sites, in units of the cell vectors:
1 Ta 0.5000 0.5000 0.5000  -0.01
2 Ce 0.0000 0.0000 0.0000  0.58
3 Sb 0.0995 0.0995 0.7015  0.00
4 Sb 0.9005 0.9005 0.2985  0.00

- Energy relative to the elements, uncorrected: 0.065 eV/atom
- Calculated volume: 100.9 Å³/f.u.

[2]
Material: ZrMnSe2Br
Method: DFT, PBE
State: optimized geometry

Lattice parameters (Å, degrees): 4.9388 4.9388 4.8086 90.00 90.00 90.00
Last column: magnetic moment on the atom in μB.
Sites, in units of the cell vectors:
1 Se 0.5000 0.0000 0.0000  -0.05
2 Se 0.0000 0.5000 0.0000  -0.05
3 Zr 0.5000 0.5000 0.5000  1.17
4 Br 0.0000 0.0000 0.5000  0.02
5 Mn 0.0000 0.0000 0.0000  3.64

- Energy relative to the elements, uncorrected: -0.004 eV/atom
- Energy relative to the lowest polymorph listed for this composition: 279 meV/atom
- Calculated volume: 117.3 Å³/f.u.

Question: Which of these has the highest calculated volume?
Answer: ZrMnSe2Br